No. 1
Tb4Nd2In: optimized geometry, PBE.

## Properties
space-group type = R-3m, No. 166
total energy = -4.466 eV per atom
formation enthalpy at 0 K = -66.5 meV/atom
volume = 226.1 Å³/f.u.
DOS(E_F) = 1.587 states/eV/atom

a b c (Å): 3.6408 3.6408 19.8041
angles (deg): 84.73 84.73 60.00
Fractional positions:
Nd: 0.8072 0.8072 0.5783
Tb: 0.2910 0.2910 0.1269
In: 0.0000 0.0000 0.0000
Tb: 0.0910 0.0910 0.7271
Tb: 0.9090 0.9090 0.2729
Nd: 0.1928 0.1928 0.4217
Tb: 0.7090 0.7090 0.8731

No. 2
Ac2DyMg: optimized geometry, PBE.

## Properties
space-group type = R3m, No. 160
total energy = -3.513 eV per atom
formation enthalpy at 0 K = 90.1 meV/atom
volume = 149.7 Å³/f.u.
DOS(E_F) = 1.445 states/eV/atom

a b c (Å): 3.8273 3.8273 12.0102
angles (deg): 80.81 80.81 59.97
Fractional positions:
Ac: 0.0818 0.0818 0.7546
Mg: 0.6667 0.6667 0.9993
Ac: 0.2517 0.2517 0.2453
Dy: 0.4997 0.4997 0.5008

No. 3
PuMnCu4: optimized geometry, PBE.

## Properties
space-group type = F-43m, No. 216
total energy = -6.513 eV per atom
formation enthalpy at 0 K = 134.6 meV/atom
volume = 91.7 Å³/f.u.
DOS(E_F) = 3.171 states/eV/atom

a b c (Å): 5.0609 5.0609 5.0609
angles (deg): 60.00 60.00 60.00
Site moments in Bohr magnetons follow the coordinates.
Fractional positions:
Cu: 0.6265 0.6265 0.6265  0.02
Cu: 0.1206 0.6265 0.6265  0.02
Cu: 0.6265 0.6265 0.1206  0.02
Cu: 0.6265 0.1206 0.6265  0.02
Pu: 0.2500 0.2500 0.2500  5.03
Mn: 0.0000 0.0000 0.0000  3.77

No. 4
EuMg2Zn: optimized geometry, PBE.

## Properties
space-group type = P4/mmm, No. 123
total energy = -3.734 eV per atom
formation enthalpy at 0 K = -49.6 meV/atom
volume = 102.3 Å³/f.u.
DOS(E_F) = 2.286 states/eV/atom

a b c (Å): 4.9077 4.5657 4.5657
angles (deg): 90.00 90.00 90.00
Site moments in Bohr magnetons follow the coordinates.
Fractional positions:
Mg: 0.0000 0.5000 0.0000  0.01
Eu: 0.5000 0.5000 0.5000  6.92
Zn: 0.5000 0.0000 0.0000  0.04
Mg: 0.0000 0.0000 0.5000  0.01

No. 5
MnAsPd3: optimized geometry, PBE.

## Properties
space-group type = P2_1/c, No. 14
total energy = -6.091 eV per atom
formation enthalpy at 0 K = -211.1 meV/atom
volume = 78.1 Å³/f.u.
DOS(E_F) = 0.588 states/eV/atom

a b c (Å): 5.0432 9.3627 7.3965
angles (deg): 116.59 90.00 90.00
Site moments in Bohr magnetons follow the coordinates.
Fractional positions:
Pd: 0.3152 0.5315 0.2716  0.17
Pd: 0.6848 0.4685 0.7284  0.17
Pd: 0.1848 0.0315 0.7716  0.17
Pd: 0.8360 0.6443 0.1380  0.06
Pd: 0.4542 0.7505 0.6826  0.16
Mn: 0.2094 0.4621 0.5800  3.78
Pd: 0.1640 0.3557 0.8620  0.06
Pd: 0.0458 0.2505 0.1826  0.16
Mn: 0.7094 0.0379 0.9200  3.78
As: 0.1787 0.1553 0.4822  -0.04
Pd: 0.6640 0.1443 0.6380  0.06
As: 0.6787 0.3447 0.0178  -0.04
As: 0.8213 0.8447 0.5178  -0.04
Mn: 0.2906 0.9621 0.0800  3.78
As: 0.3213 0.6553 0.9822  -0.04
Pd: 0.8152 0.9685 0.2284  0.17
Mn: 0.7906 0.5379 0.4200  3.78
Pd: 0.9542 0.7495 0.8174  0.16
Pd: 0.3360 0.8557 0.3620  0.06
Pd: 0.5458 0.2495 0.3174  0.16

No. 6
Dy2Ga12Pt: optimized geometry, PBE.

## Properties
space-group type = P4/nbm, No. 125
total energy = -3.843 eV per atom
formation enthalpy at 0 K = -404.7 meV/atom
volume = 288.3 Å³/f.u.
DOS(E_F) = 0.310 states/eV/atom

a b c (Å): 6.1287 6.1287 15.3490
angles (deg): 90.00 90.00 90.00
Fractional positions:
Ga: 0.8351 0.6649 0.4311
Dy: 0.5000 0.0000 0.7584
Ga: 0.0000 0.0000 0.6518
Ga: 0.7502 0.2502 0.0913
Ga: 0.3351 0.8351 0.4311
Ga: 0.7502 0.7498 0.9087
Dy: 0.0000 0.5000 0.7584
Pt: 0.5000 0.0000 0.0000
Dy: 0.0000 0.5000 0.2416
Ga: 0.7498 0.7502 0.0913
Ga: 0.6649 0.8351 0.5689
Ga: 0.1649 0.3351 0.4311
Ga: 0.5000 0.5000 0.6518
Ga: 0.1649 0.6649 0.5689
Ga: 0.2502 0.2498 0.0913
Dy: 0.5000 0.0000 0.2416
Ga: 0.3351 0.1649 0.5689
Ga: 0.2502 0.7502 0.9087
Ga: 0.0000 0.0000 0.8101
Ga: 0.2498 0.2502 0.9087
Ga: 0.7498 0.2498 0.9087
Ga: 0.5000 0.5000 0.8101
Ga: 0.8351 0.3351 0.5689
Ga: 0.2498 0.7498 0.0913
Ga: 0.5000 0.5000 0.3482
Ga: 0.0000 0.0000 0.3482
Ga: 0.0000 0.0000 0.1899
Pt: 0.0000 0.5000 0.0000
Ga: 0.6649 0.1649 0.4311
Ga: 0.5000 0.5000 0.1899

No. 7
Ta2VW3: optimized geometry, PBE.

## Properties
space-group type = P4/mmm, No. 123
total energy = -12.016 eV per atom
formation enthalpy at 0 K = -68.9 meV/atom
volume = 97.8 Å³/f.u.
DOS(E_F) = 0.883 states/eV/atom

a b c (Å): 3.1968 3.1968 9.5739
angles (deg): 90.00 90.00 90.00
Fractional positions:
V: 0.5000 0.5000 0.5000
W: 0.0000 0.0000 0.3433
Ta: 0.5000 0.5000 0.1706
Ta: 0.5000 0.5000 0.8294
W: 0.0000 0.0000 0.0000
W: 0.0000 0.0000 0.6567

No. 8
K2Mg3: optimized geometry, PBE.

## Properties
space-group type = P-3m1, No. 164
total energy = -0.934 eV per atom
formation enthalpy at 0 K = 462.0 meV/atom
volume = 228.3 Å³/f.u.
DOS(E_F) = 0.634 states/eV/atom

a b c (Å): 5.9502 5.9502 7.4455
angles (deg): 90.00 90.00 120.00
Fractional positions:
Mg: 0.3333 0.6667 0.3497
Mg: 0.0000 0.0000 0.0000
K: 0.3333 0.6667 0.8284
K: 0.6667 0.3333 0.1716
Mg: 0.6667 0.3333 0.6503